# 1
Lu3Ga8Ir3 | meta-GGA SCAN | PBEsol geometry

abc: 4.100 9.617 12.140
angles: 90.00 90.00 90.00
Space group Immm (No. 71)
Inequivalent atoms, fractional coordinates:
1 Lu 0.000 0.000 0.000
2 Lu 0.000 0.000 0.334
3 Ga 0.000 0.284 0.125
4 Ga 0.000 0.372 0.328
5 Ir 0.000 0.222 0.500
6 Ir 0.000 0.500 0.000

Calculated values
**Energy of formation from the pure elements**: -0.77 eV/atom
**Crystal system**: orthorhombic
**D(E_F)**: 11.7 states/eV per cell

# 2
TiNi | meta-GGA SCAN | PBEsol geometry

abc: 2.968 2.968 2.968
angles: 90.00 90.00 90.00
Space group Pm-3m (No. 221)
Inequivalent atoms, fractional coordinates:
1 Ti 0.000 0.000 0.000
2 Ni 0.500 0.500 0.500

Calculated values
**Energy of formation from the pure elements**: -0.39 eV/atom
**Crystal system**: cubic
**D(E_F)**: 2.1 states/eV per cell

# 3
K2CaMo | meta-GGA SCAN | PBEsol geometry

abc: 3.743 3.744 11.220
angles: 90.00 90.28 90.00
Space group Pm (No. 6)
Inequivalent atoms, fractional coordinates:
1 K 0.000 0.000 0.000
2 K 0.486 0.500 0.350
3 Ca 0.492 0.500 0.704
4 Mo 0.990 0.000 0.563

Calculated values
**Energy of formation from the pure elements**: 0.92 eV/atom
**Polymorph energy (0 for the lowest one)**: 0 meV per atom
**Crystal system**: monoclinic
**D(E_F)**: 3.4 states/eV per cell

# 4
NbGaSe2Br | meta-GGA SCAN | PBEsol geometry

abc: 5.021 5.021 5.029
angles: 90.00 90.00 90.00
Space group P4/mmm (No. 123)
Inequivalent atoms, fractional coordinates:
1 Nb 0.000 0.000 0.000
2 Ga 0.500 0.500 0.000
3 Se 0.000 0.500 0.500
4 Br 0.500 0.500 0.500

Calculated values
**E_form (uncorrected)**: 1.12 eV/atom
**Crystal system**: tetragonal
**D(E_F)**: 3.7 states/eV per cell